Entry 1:
DFT (PBE) results for crystalline Rb4ClO12 at its relaxed geometry.

```
17
Lattice="-4.443 4.443 4.443 4.443 -4.443 4.443 4.443 4.443 -4.443" Properties=species:S:1:pos:R:3 pbc="T T T"
Rb 2.221 2.221 -2.221
Rb 2.221 -2.221 2.221
Rb -2.221 2.221 2.221
Rb 2.221 2.221 2.221
Cl 0.000 0.000 0.000
O 3.801 1.033 0.000
O 5.085 1.033 0.000
O 4.443 -0.642 3.410
O 3.410 4.443 -0.642
O 1.033 0.000 3.801
O 4.443 0.642 3.410
O 0.000 3.801 1.033
O 3.410 4.443 0.642
O 1.033 0.000 5.085
O 0.000 5.085 1.033
O -0.642 3.410 4.443
O 0.642 3.410 4.443
```

Summary:
* total DFT energy (no corrections): -4.55 eV/atom
* ΔE_f (raw): -16.37 kcal/mol of atoms



Entry 2:
DFT (PBE) results for crystalline Rb3ClO at its relaxed geometry.

```
5
Lattice="6.040 0.000 0.000 0.000 6.040 0.000 0.000 0.000 6.040" Properties=species:S:1:pos:R:3 pbc="T T T"
Rb 0.000 0.000 3.020
Rb 0.000 3.020 0.000
Rb 3.020 0.000 0.000
Cl 0.000 0.000 0.000
O 3.020 3.020 3.020
```

Summary:
* total DFT energy (no corrections): -2.67 eV/atom
* DOS(E_F): 0.555 states/eV/atom
* ΔE_f (raw): -16.83 kcal/mol of atoms



Entry 3:
DFT (PBE) results for crystalline Rb2ClO at its relaxed geometry.

```
4
Lattice="0.000 3.817 3.817 3.817 0.000 3.817 3.817 3.817 0.000" Properties=species:S:1:pos:R:3 pbc="T T T"
Rb 1.908 1.908 1.908
Rb 5.725 5.725 5.725
Cl 0.000 0.000 0.000
O 3.817 3.817 3.817
```

Summary:
* total DFT energy (no corrections): -3.29 eV/atom
* DOS(E_F): 10.347 states/eV/atom
* ΔE_f (raw): -25.47 kcal/mol of atoms
* offset from the most stable computed form: 0.18 eV per formula unit



Entry 4:
DFT (PBE) results for crystalline Rb3ClO at its relaxed geometry.

```
20
Lattice="7.866 0.000 0.000 0.000 10.884 0.000 0.000 0.000 7.652" Properties=species:S:1:pos:R:3 pbc="T T T"
Rb 0.227 2.721 0.646
Rb 1.616 0.484 5.394
Rb 1.616 4.958 5.394
Rb 2.317 5.926 1.569
Rb 2.317 10.400 1.569
Rb 3.706 8.163 4.472
Rb 4.160 2.721 3.180
Rb 5.549 0.484 6.083
Rb 5.549 4.958 6.083
Rb 6.251 5.926 2.257
Rb 6.251 10.400 2.257
Rb 7.639 8.163 7.006
Cl 0.427 8.163 3.715
Cl 3.506 2.721 7.540
Cl 4.360 8.163 0.111
Cl 7.439 2.721 3.937
O 0.000 0.000 0.000
O 0.000 5.442 0.000
O 3.933 0.000 3.826
O 3.933 5.442 3.826
```

Summary:
* total DFT energy (no corrections): -3.27 eV/atom
* ΔE_f (raw): -30.59 kcal/mol of atoms



Entry 5:
DFT (PBE) results for crystalline Rb8ClO2 at its relaxed geometry.

```
11
Lattice="8.010 -6.588 0.000 8.010 6.588 0.000 -0.347 0.000 5.954" Properties=species:S:1:pos:R:3 pbc="T T T"
Rb 5.812 4.479 4.626
Rb 3.011 0.000 4.275
Rb 9.861 4.479 1.328
Rb 5.882 0.000 1.404
Rb 9.792 0.000 4.550
Rb 5.812 -4.479 4.626
Rb 12.662 0.000 1.679
Rb 9.861 -4.479 1.328
Cl -0.174 0.000 2.977
O 3.329 0.000 1.044
O 12.345 0.000 4.909
```

Summary:
* total DFT energy (no corrections): -2.59 eV/atom
* DOS(E_F): 0.440 states/eV/atom
* ΔE_f (raw): -18.82 kcal/mol of atoms



Entry 6:
DFT (PBE) results for crystalline Rb4ClO4 at its relaxed geometry.

```
9
Lattice="4.381 0.000 0.000 -0.030 7.708 0.000 -0.005 -2.050 7.700" Properties=species:S:1:pos:R:3 pbc="T T T"
Rb 0.002 1.069 1.510
Rb 2.156 5.086 2.287
Rb 2.190 0.573 5.413
Rb 4.344 4.590 6.190
Cl -0.002 -1.025 3.850
O 2.160 7.099 0.403
O 2.177 2.447 3.262
O 2.169 3.211 4.438
O 2.187 -1.441 7.297
```

Summary:
* total DFT energy (no corrections): -3.95 eV/atom
* DOS(E_F): 0.872 states/eV/atom
* ΔE_f (raw): -25.52 kcal/mol of atoms



Entry 7:
DFT (PBE) results for crystalline Rb4Cl4O3 at its relaxed geometry.

```
11
Lattice="5.337 -2.692 0.000 5.337 2.692 0.000 -0.008 0.000 13.132" Properties=species:S:1:pos:R:3 pbc="T T T"
Rb 0.000 0.000 0.000
Rb 10.667 0.000 6.525
Rb 3.333 0.000 9.828
Rb 3.365 0.000 3.262
Cl 10.672 0.000 3.263
Cl 3.352 0.000 6.565
Cl 3.352 0.000 13.090
Cl 10.633 0.000 9.828
O 6.544 0.000 3.274
O 7.224 0.000 2.163
O 7.224 0.000 4.384
```

Summary:
* total DFT energy (no corrections): -3.63 eV/atom
* ΔE_f (raw): -28.93 kcal/mol of atoms



Entry 8:
DFT (PBE) results for crystalline Rb5ClO at its relaxed geometry.

```
14
Lattice="5.893 -6.258 0.000 5.893 6.258 0.000 -5.443 0.000 10.051" Properties=species:S:1:pos:R:3 pbc="T T T"
Rb 2.560 3.410 3.558
Rb 1.811 3.386 7.538
Rb 0.560 0.377 5.043
Rb 3.281 -0.377 0.017
Rb 6.504 3.410 1.467
Rb -0.161 -3.410 8.583
Rb 3.062 0.377 10.033
Rb 5.783 -0.377 5.008
Rb 4.532 -3.386 2.513
Rb 3.783 -3.410 6.493
Cl 4.532 5.852 2.513
Cl 1.811 -5.852 7.538
O 0.225 3.129 5.025
O 2.946 -3.129 0.000
```

Summary:
* total DFT energy (no corrections): -2.59 eV/atom
* DOS(E_F): 0.259 states/eV/atom
* ΔE_f (raw): -21.29 kcal/mol of atoms



Entry 9:
DFT (PBE) results for crystalline Rb7Cl3O2 at its relaxed geometry.

```
12
Lattice="-2.752 2.752 13.847 2.752 -2.752 13.847 2.752 2.752 -13.847" Properties=species:S:1:pos:R:3 pbc="T T T"
Rb 0.000 0.000 0.000
Rb 2.752 0.000 2.713
Rb 0.000 0.000 5.444
Rb 2.752 0.000 11.134
Rb 0.000 2.752 2.713
Rb 0.000 0.000 22.251
Rb 0.000 2.752 11.134
Cl 0.000 0.000 8.819
Cl 0.000 0.000 13.847
Cl 0.000 0.000 18.876
O 0.000 0.000 2.798
O 0.000 0.000 24.897
```

Summary:
* total DFT energy (no corrections): -3.26 eV/atom
* ΔE_f (raw): -32.51 kcal/mol of atoms
* offset from the most stable computed form: 0.00 eV per formula unit



Entry 10:
DFT (PBE) results for crystalline Rb3ClO at its relaxed geometry.

```
5
Lattice="5.524 0.000 0.000 0.000 5.524 0.000 0.000 0.000 5.524" Properties=species:S:1:pos:R:3 pbc="T T T"
Rb 0.000 0.000 2.762
Rb 0.000 2.762 0.000
Rb 2.762 0.000 0.000
Cl 2.762 2.762 2.762
O 0.000 0.000 0.000
```

Summary:
* total DFT energy (no corrections): -3.24 eV/atom
* DOS(E_F): 0.000 states/eV/atom
* ΔE_f (raw): -29.94 kcal/mol of atoms



Entry 11:
DFT (PBE) results for crystalline Rb3ClO at its relaxed geometry.

```
20
Lattice="9.033 0.000 0.000 0.000 4.351 0.000 0.000 0.000 16.051" Properties=species:S:1:pos:R:3 pbc="T T T"
Rb 0.131 1.088 1.515
Rb 1.538 1.088 8.129
Rb 1.804 3.263 4.741
Rb 2.712 1.088 12.767
Rb 2.978 3.263 0.104
Rb 4.385 3.263 9.540
Rb 4.648 1.088 6.511
Rb 6.055 1.088 15.947
Rb 6.321 3.263 3.284
Rb 7.228 1.088 11.309
Rb 7.494 3.263 7.921
Rb 8.901 3.263 14.536
Cl 0.813 3.263 10.909
Cl 3.703 1.088 2.883
Cl 5.329 3.263 13.168
Cl 8.220 1.088 5.142
O 1.600 1.088 15.142
O 2.916 3.263 7.116
O 6.117 1.088 8.935
O 7.432 3.263 0.909
```

Summary:
* total DFT energy (no corrections): -3.28 eV/atom
* ΔE_f (raw): -30.89 kcal/mol of atoms



Entry 12:
DFT (PBE) results for crystalline Rb3ClO at its relaxed geometry.

```
30
Lattice="7.706 0.000 0.000 -3.853 6.674 0.000 0.000 0.000 20.090" Properties=species:S:1:pos:R:3 pbc="T T T"
Rb -1.758 3.435 5.023
Rb 0.000 2.253 1.574
Rb 0.000 2.253 8.471
Rb -1.902 5.547 1.574
Rb -1.902 5.547 8.471
Rb 1.951 1.127 11.619
Rb 1.951 1.127 18.516
Rb 1.758 3.435 5.023
Rb 0.000 6.479 5.023
Rb 3.853 0.195 15.068
Rb 2.096 3.239 15.068
Rb 1.902 5.547 1.574
Rb 1.902 5.547 8.471
Rb 5.755 1.127 11.619
Rb 5.755 1.127 18.516
Rb 3.853 4.421 11.619
Rb 3.853 4.421 18.516
Rb 5.611 3.239 15.068
Cl 0.000 0.000 5.023
Cl 0.000 0.000 15.068
Cl 0.000 4.449 11.340
Cl 0.000 4.449 18.795
Cl 3.853 2.225 1.295
Cl 3.853 2.225 8.750
O 0.000 0.000 0.000
O 0.000 0.000 10.045
O 0.000 4.449 3.270
O 0.000 4.449 6.775
O 3.853 2.225 13.315
O 3.853 2.225 16.820
```

Summary:
* total DFT energy (no corrections): -3.24 eV/atom
* ΔE_f (raw): -29.98 kcal/mol of atoms



Entry 13:
DFT (PBE) results for crystalline Rb8ClO4 at its relaxed geometry.

```
13
Lattice="7.299 -4.220 0.000 7.299 4.220 0.000 -7.107 0.000 7.854" Properties=species:S:1:pos:R:3 pbc="T T T"
Rb -1.173 0.000 1.423
Rb 2.482 1.974 1.411
Rb 5.960 0.000 1.230
Rb 2.482 -1.974 1.411
Rb 5.008 1.974 6.443
Rb 1.531 0.000 6.624
Rb 5.008 -1.974 6.443
Rb 8.663 0.000 6.431
Cl 3.745 0.000 3.927
O -3.483 0.000 7.557
O 7.299 2.152 0.000
O 7.299 -2.152 0.000
O 10.973 0.000 0.297
```

Summary:
* total DFT energy (no corrections): -3.33 eV/atom
* DOS(E_F): 1.502 states/eV/atom
* ΔE_f (raw): -24.71 kcal/mol of atoms



Entry 14:
DFT (PBE) results for crystalline RbClO at its relaxed geometry.

```
6
Lattice="5.448 0.000 0.000 -2.723 4.857 0.000 -1.163 -1.676 9.891" Properties=species:S:1:pos:R:3 pbc="T T T"
Rb 0.003 1.583 1.640
Rb 1.559 1.598 8.251
Cl -1.161 -0.066 8.257
Cl 2.723 3.246 1.634
O -1.337 1.554 4.840
O 2.900 1.626 5.051
```

Summary:
* total DFT energy (no corrections): -3.80 eV/atom
* ΔE_f (raw): -27.93 kcal/mol of atoms



Entry 15:
DFT (PBE) results for crystalline Rb10Cl4O3 at its relaxed geometry.

```
17
Lattice="-2.754 2.754 19.390 2.754 -2.754 19.390 2.754 2.754 -19.390" Properties=species:S:1:pos:R:3 pbc="T T T"
Rb 2.754 0.000 0.000
Rb 0.000 0.000 2.761
Rb 2.754 0.000 5.477
Rb 0.000 0.000 8.219
Rb 2.754 0.000 13.913
Rb 0.000 2.754 0.000
Rb 0.000 2.754 5.477
Rb 0.000 0.000 30.561
Rb 0.000 2.754 13.913
Rb 0.000 0.000 36.019
Cl 0.000 0.000 11.601
Cl 0.000 0.000 16.706
Cl 0.000 0.000 22.074
Cl 0.000 0.000 27.179
O 0.000 0.000 0.000
O 0.000 0.000 5.577
O 0.000 0.000 33.203
```

Summary:
* total DFT energy (no corrections): -3.26 eV/atom
* ΔE_f (raw): -31.76 kcal/mol of atoms



Entry 16:
DFT (PBE) results for crystalline Rb12Cl5O3 at its relaxed geometry.

```
20
Lattice="13.601 0.000 0.000 -6.800 11.779 0.000 0.000 0.000 4.462" Properties=species:S:1:pos:R:3 pbc="T T T"
Rb -1.292 2.238 0.000
Rb -3.109 5.384 0.000
Rb 2.584 0.000 0.000
Rb -2.407 9.074 2.231
Rb 0.146 5.157 2.231
Rb 4.394 2.705 2.231
Rb 6.217 0.000 0.000
Rb 3.692 6.394 0.000
Rb 2.261 9.326 2.231
Rb 9.062 2.453 2.231
Rb 6.946 6.621 2.231
Rb 5.508 9.541 0.000
Cl -4.773 8.267 0.000
Cl 2.027 3.511 0.000
Cl 0.000 7.852 0.000
Cl 6.800 3.926 0.000
Cl 9.546 0.000 0.000
O -2.271 3.934 2.231
O 4.542 0.000 2.231
O 4.529 7.845 2.231
```

Summary:
* total DFT energy (no corrections): -3.17 eV/atom
* DOS(E_F): 0.076 states/eV/atom
* ΔE_f (raw): -31.96 kcal/mol of atoms
* offset from the most stable computed form: 0.00 eV per formula unit



Entry 17:
DFT (PBE) results for crystalline Rb6ClO2 at its relaxed geometry.

```
9
Lattice="7.322 -2.817 0.000 7.322 2.817 0.000 -5.622 0.000 8.810" Properties=species:S:1:pos:R:3 pbc="T T T"
Rb -0.630 0.000 1.615
Rb -1.016 0.000 8.198
Rb 2.835 0.000 3.274
Rb 6.187 0.000 5.536
Rb 10.039 0.000 0.612
Rb 9.652 0.000 7.194
Cl -2.811 0.000 4.405
O 2.059 0.000 0.753
O 6.963 0.000 8.057
```

Summary:
* total DFT energy (no corrections): -2.98 eV/atom
* DOS(E_F): 0.218 states/eV/atom
* ΔE_f (raw): -23.73 kcal/mol of atoms
* offset from the most stable computed form: 0.00 eV per formula unit



Entry 18:
DFT (PBE) results for crystalline Rb4ClO2 at its relaxed geometry.

```
7
Lattice="8.272 -2.169 0.000 8.272 2.169 0.000 -2.797 0.000 6.624" Properties=species:S:1:pos:R:3 pbc="T T T"
Rb 1.185 0.000 3.164
Rb 2.882 0.000 6.490
Rb 10.864 0.000 0.134
Rb 12.561 0.000 3.461
Cl 0.000 0.000 0.000
O 3.664 0.000 1.823
O 10.082 0.000 4.801
```

Summary:
* total DFT energy (no corrections): -3.40 eV/atom
* DOS(E_F): 1.415 states/eV/atom
* ΔE_f (raw): -26.90 kcal/mol of atoms



Entry 19:
DFT (PBE) results for crystalline Rb5Cl2O2 at its relaxed geometry.

```
9
Lattice="7.636 -2.658 0.000 7.636 2.658 0.000 -5.033 0.000 7.258" Properties=species:S:1:pos:R:3 pbc="T T T"
Rb 0.000 0.000 0.000
Rb -1.870 0.000 5.344
Rb 2.324 0.000 4.434
Rb 7.914 0.000 2.825
Rb 12.108 0.000 1.914
Cl 5.591 0.000 0.262
Cl 4.647 0.000 6.996
O -0.307 0.000 2.980
O 10.545 0.000 4.278
```

Summary:
* total DFT energy (no corrections): -3.39 eV/atom
* DOS(E_F): 0.380 states/eV/atom
* ΔE_f (raw): -30.94 kcal/mol of atoms



Entry 20:
DFT (PBE) results for crystalline Rb2Cl7O at its relaxed geometry.

```
10
Lattice="-3.745 3.745 4.547 3.745 -3.745 4.547 3.745 3.745 -4.547" Properties=species:S:1:pos:R:3 pbc="T T T"
Rb 3.745 0.000 2.273
Rb 0.000 3.745 2.273
Cl 0.000 0.000 0.000
Cl 0.000 0.000 2.245
Cl 2.152 2.152 0.000
Cl 1.593 -1.593 4.547
Cl -1.593 1.593 4.547
Cl 1.593 1.593 4.547
Cl 0.000 0.000 6.849
O 0.000 0.000 4.547
```

Summary:
* total DFT energy (no corrections): -2.43 eV/atom
* DOS(E_F): 0.275 states/eV/atom
* ΔE_f (raw): -10.45 kcal/mol of atoms